1.
The following is a DFT calculation (PBE) of a relaxed BIrPt2 crystal.

Computed properties:
ΔE_f: 0.09 eV per atom
D(E_F): 0.99 states/eV/atom
M_tot: 1.1 Bohr magnetons per cell
total DFT energy (no corrections): -81.83 eV/cell

Structure (CIF):
```
data_BIrPt2
_chemical_formula_sum 'B3 Ir3 Pt6'
_cell_length_a 2.8118
_cell_length_b 2.8118
_cell_length_c 23.3383
_cell_angle_alpha 90.00
_cell_angle_beta 90.00
_cell_angle_gamma 120.00
_symmetry_space_group_name_H-M 'R -3 m'
_symmetry_Int_Tables_number 166
_symmetry_space_group_name_Hall '-R 3 2"'
loop_
_atom_site_label
_atom_site_type_symbol
_atom_site_fract_x
_atom_site_fract_y
_atom_site_fract_z
B1 B 0.0000 0.0000 0.0000
Ir1 Ir 0.0000 0.0000 0.5000
Pt1 Pt 0.0000 0.0000 0.2680
```

2.
The following is a DFT calculation (PBE) of a relaxed Sm2ScZn3 crystal.

Computed properties:
ΔE_f: -0.31 eV per atom
D(E_F): 1.25 states/eV/atom
M_tot: 0.0 Bohr magnetons per cell
total DFT energy (no corrections): -21.48 eV/cell

Structure (CIF):
```
data_Sm2ScZn3
_chemical_formula_sum 'Sm2 Sc1 Zn3'
_cell_length_a 3.5230
_cell_length_b 3.5230
_cell_length_c 10.7844
_cell_angle_alpha 90.00
_cell_angle_beta 90.00
_cell_angle_gamma 90.00
_symmetry_space_group_name_H-M 'P 4/m m m'
_symmetry_Int_Tables_number 123
_symmetry_space_group_name_Hall '-P 4 2'
loop_
_atom_site_label
_atom_site_type_symbol
_atom_site_fract_x
_atom_site_fract_y
_atom_site_fract_z
Sm1 Sm 0.0000 0.0000 0.1761
Sc1 Sc 0.0000 0.0000 0.5000
Zn1 Zn 0.5000 0.5000 0.0000
Zn2 Zn 0.5000 0.5000 0.3604
```

3.
The following is a DFT calculation (PBE) of a relaxed Tb2Sm12Y crystal.

Computed properties:
ΔE_f: 0.16 eV per atom
D(E_F): 1.55 states/eV/atom
M_tot: 0.0 Bohr magnetons per cell
total DFT energy (no corrections): -279.83 eV/cell

Structure (CIF):
```
data_Tb2Sm12Y
_chemical_formula_sum 'Tb8 Sm48 Y4'
_cell_length_a 7.1557
_cell_length_b 11.5116
_cell_length_c 24.8780
_cell_angle_alpha 90.00
_cell_angle_beta 90.00
_cell_angle_gamma 90.00
_symmetry_space_group_name_H-M 'C m m e'
_symmetry_Int_Tables_number 67
_symmetry_space_group_name_Hall '-C 2a 2'
loop_
_atom_site_label
_atom_site_type_symbol
_atom_site_fract_x
_atom_site_fract_y
_atom_site_fract_z
Tb1 Tb 0.0000 0.2500 0.2286
Tb2 Tb 0.0000 0.2500 0.7666
Sm1 Sm 0.0000 0.0011 0.5767
Sm2 Sm 0.0000 0.0231 0.0600
Sm3 Sm 0.2318 0.2500 0.9152
Sm4 Sm 0.2489 0.2500 0.3706
Sm5 Sm 0.2500 0.0000 0.1740
Sm6 Sm 0.2500 0.0000 0.3001
Y1 Y 0.0000 0.2500 0.4996
```